VASP calculation (PBE) on an optimized crystal structure of Ba2CePuN4.

Unit cell a=6.2890 b=3.6661 c=6.6722 alpha=90.00 beta=107.73 gamma=90.00
Last column: nearest neighbours and their distance in Å.
Fractional positions:
Ba (0.0000, 0.0000, 0.0000)  6 N 2.97-3.02
Ba (0.5000, 0.5000, 0.0000)  6 N 2.88-2.91
Ce (0.0000, 0.5000, 0.5000)  6 N 2.42-2.46
Pu (0.5000, 0.0000, 0.5000)  6 N 2.25-2.38
N (0.2463, 0.0000, 0.6764)  1 Pu 2.25, 2 Ce 2.46
N (0.2823, 0.5000, 0.3220)  2 Pu 2.38, 1 Ce 2.42
N (0.7177, 0.5000, 0.6780)  2 Pu 2.38, 1 Ce 2.42
N (0.7537, 0.0000, 0.3236)  1 Pu 2.25, 2 Ce 2.46

Output
**Calculated volume**: 146.5 Å³/f.u.
**Crystal system**: monoclinic
**Space group**: P2/m (10)
**Formation energy from raw total energies**: -941 meV/atom
**M_tot**: 3.77 μB/f.u.
**Total energy**: -64.94 eV per cell


VASP calculation (PBE) on an optimized crystal structure of BaCePuN3.

Unit cell a=7.8463 b=3.7886 c=8.5317 alpha=90.00 beta=102.27 gamma=90.00
Last column: nearest neighbours and their distance in Å.
Fractional positions:
Ba (0.1876, 0.2500, 0.1782)  5 N 2.85-3.16
Ba (0.8124, 0.7500, 0.8218)  5 N 2.85-3.16
Ce (0.3601, 0.7500, 0.8468)  4 N 2.24-2.46
Ce (0.6399, 0.2500, 0.1532)  4 N 2.24-2.46
Pu (0.0589, 0.2500, 0.5755)  4 N 2.10-2.26
Pu (0.9411, 0.7500, 0.4245)  4 N 2.10-2.26
N (0.1353, 0.2500, 0.8272)  1 Pu 2.10
N (0.2137, 0.7500, 0.5703)  3 Pu 2.23-2.26, 1 Ce 2.39
N (0.4356, 0.7500, 0.1147)  3 Ce 2.24-2.46
N (0.5644, 0.2500, 0.8853)  3 Ce 2.24-2.46
N (0.7863, 0.2500, 0.4297)  3 Pu 2.23-2.26, 1 Ce 2.39
N (0.8647, 0.7500, 0.1728)  1 Pu 2.10

Output
**Calculated volume**: 123.9 Å³/f.u.
**Crystal system**: monoclinic
**Space group**: P2_1/m (11)
**Formation energy from raw total energies**: -822 meV/atom
**M_tot**: 0.17 μB/f.u.
**Total energy**: -104.19 eV per cell


VASP calculation (PBE) on an optimized crystal structure of BaCe2ReN5.

Unit cell a=7.6033 b=7.6033 c=7.6033 alpha=125.66 beta=125.66 gamma=80.45
Last column: nearest neighbours and their distance in Å.
Fractional positions:
Ba (0.2500, 0.2500, 0.0000)  10 N 2.90-2.95
Ba (0.7500, 0.7500, 0.0000)  10 N 2.90-2.95
Ce (0.1822, 0.6822, 0.8644)  4 N 2.40-2.54
Ce (0.3178, 0.1822, 0.5000)  4 N 2.40-2.54
Ce (0.6822, 0.8178, 0.5000)  4 N 2.40-2.54
Ce (0.8178, 0.3178, 0.1356)  4 N 2.40-2.54
Re (0.2500, 0.7500, 0.5000)  4 N 1.86
Re (0.7500, 0.2500, 0.5000)  4 N 1.86
N (0.0000, 0.0000, 0.0000)  4 Ce 2.54
N (0.0014, 0.7837, 0.5000)  1 Re 1.86
N (0.2163, 0.7163, 0.2178)  1 Re 1.86
N (0.2837, 0.5014, 0.5000)  1 Re 1.86
N (0.4986, 0.9986, 0.7822)  1 Re 1.86
N (0.5000, 0.5000, 0.0000)  4 Ce 2.54
N (0.5014, 0.0014, 0.2178)  1 Re 1.86
N (0.7163, 0.4986, 0.5000)  1 Re 1.86
N (0.7837, 0.2837, 0.7822)  1 Re 1.86
N (0.9986, 0.2163, 0.5000)  1 Re 1.86

Output
**Calculated volume**: 140.0 Å³/f.u.
**Crystal system**: tetragonal
**Space group**: I4/mcm (140)
**Formation energy from raw total energies**: -975 meV/atom
**M_tot**: 1.05 μB/f.u.
**Total energy**: -153.29 eV per cell


VASP calculation (PBE) on an optimized crystal structure of Ba3CeRe2N8.

Unit cell a=6.1752 b=6.1752 c=7.8597 alpha=90.00 beta=90.00 gamma=120.00
Last column: nearest neighbours and their distance in Å.
Fractional positions:
Ba (0.0000, 0.0000, 0.0000)  6 N 3.07
Ba (0.3333, 0.6667, 0.6709)  1 N 2.61
Ba (0.6667, 0.3333, 0.3291)  1 N 2.61
Ce (0.0000, 0.0000, 0.5000)  6 N 2.35
Re (0.3333, 0.6667, 0.2282)  4 N 1.77-1.85
Re (0.6667, 0.3333, 0.7718)  4 N 1.77-1.85
N (0.1715, 0.3430, 0.3127)  1 Re 1.85
N (0.1715, 0.8285, 0.3127)  1 Re 1.85
N (0.3333, 0.6667, 0.0025)  1 Re 1.77
N (0.3430, 0.1715, 0.6873)  1 Re 1.85
N (0.6570, 0.8285, 0.3127)  1 Re 1.85
N (0.6667, 0.3333, 0.9975)  1 Re 1.77
N (0.8285, 0.1715, 0.6873)  1 Re 1.85
N (0.8285, 0.6570, 0.6873)  1 Re 1.85

Output
**Calculated volume**: 259.6 Å³/f.u.
**Crystal system**: trigonal
**Space group**: P-3m1 (164)
**Formation energy from raw total energies**: -828 meV/atom
**M_tot**: 0.00 μB/f.u.
**Total energy**: -114.80 eV per cell


VASP calculation (PBE) on an optimized crystal structure of Ba2CeReN4.

Unit cell a=6.2839 b=6.2839 c=7.7221 alpha=90.00 beta=90.00 gamma=90.00
Last column: nearest neighbours and their distance in Å.
Fractional positions:
Ba (0.0000, 0.0000, 0.0000)  4 N 2.87
Ba (0.0000, 0.5000, 0.2500)  4 N 2.78
Ba (0.5000, 0.0000, 0.7500)  4 N 2.78
Ba (0.5000, 0.5000, 0.5000)  4 N 2.87
Ce (0.0000, 0.0000, 0.5000)  4 N 2.31
Ce (0.5000, 0.5000, 0.0000)  4 N 2.31
Re (0.0000, 0.5000, 0.7500)  4 N 1.92
Re (0.5000, 0.0000, 0.2500)  4 N 1.92
N (0.1624, 0.2648, 0.6606)  1 Re 1.92
N (0.2352, 0.6624, 0.8394)  1 Re 1.92
N (0.2648, 0.8376, 0.3394)  1 Re 1.92
N (0.3376, 0.2352, 0.1606)  1 Re 1.92
N (0.6624, 0.7648, 0.1606)  1 Re 1.92
N (0.7352, 0.1624, 0.3394)  1 Re 1.92
N (0.7648, 0.3376, 0.8394)  1 Re 1.92
N (0.8376, 0.7352, 0.6606)  1 Re 1.92

Output
**Calculated volume**: 152.5 Å³/f.u.
**Crystal system**: tetragonal
**Space group**: I-4 (82)
**Formation energy from raw total energies**: -654 meV/atom
**M_tot**: 0.74 μB/f.u.
**Total energy**: -121.53 eV per cell


VASP calculation (PBE) on an optimized crystal structure of BaCe2RhN4.

Unit cell a=6.3152 b=6.3152 c=12.3321 alpha=90.00 beta=90.00 gamma=146.33
Last column: nearest neighbours and their distance in Å.
Fractional positions:
Ba (0.0835, 0.9165, 0.7500)  4 N 2.90-3.24, 1 Rh 3.22
Ba (0.9165, 0.0835, 0.2500)  4 N 2.90-3.24, 1 Rh 3.22
Ce (0.3659, 0.6341, 0.5507)  6 N 2.33-2.52
Ce (0.3659, 0.6341, 0.9493)  6 N 2.33-2.52
Ce (0.6341, 0.3659, 0.0507)  6 N 2.33-2.52
Ce (0.6341, 0.3659, 0.4493)  6 N 2.33-2.52
Rh (0.1832, 0.8168, 0.2500)  4 N 2.02-2.07
Rh (0.8168, 0.1832, 0.7500)  4 N 2.02-2.07
N (0.0000, 0.0000, 0.0000)  4 Ce 2.52
N (0.0000, 0.0000, 0.5000)  4 Ce 2.52
N (0.2494, 0.7506, 0.0993)  1 Rh 2.02
N (0.2494, 0.7506, 0.4007)  1 Rh 2.02
N (0.3971, 0.6029, 0.7500)  2 Rh 2.07
N (0.6029, 0.3971, 0.2500)  2 Rh 2.07
N (0.7506, 0.2494, 0.5993)  1 Rh 2.02
N (0.7506, 0.2494, 0.9007)  1 Rh 2.02

Output
**Calculated volume**: 136.3 Å³/f.u.
**Crystal system**: orthorhombic
**Space group**: Cmcm (63)
**Formation energy from raw total energies**: -911 meV/atom
**M_tot**: 0.00 μB/f.u.
**Total energy**: -123.46 eV per cell


VASP calculation (PBE) on an optimized crystal structure of BaCe2RuN4.

Unit cell a=6.3505 b=6.3505 c=12.3326 alpha=90.00 beta=90.00 gamma=146.81
Last column: nearest neighbours and their distance in Å.
Fractional positions:
Ba (0.0826, 0.9174, 0.7500)  8 N 2.92-3.27, 1 Ru 3.23
Ba (0.9174, 0.0826, 0.2500)  8 N 2.92-3.27, 1 Ru 3.23
Ce (0.3665, 0.6335, 0.5487)  6 N 2.36-2.51
Ce (0.3665, 0.6335, 0.9513)  6 N 2.36-2.51
Ce (0.6335, 0.3665, 0.0487)  6 N 2.36-2.51
Ce (0.6335, 0.3665, 0.4513)  6 N 2.36-2.51
Ru (0.1826, 0.8174, 0.2500)  4 N 1.98-2.04
Ru (0.8174, 0.1826, 0.7500)  4 N 1.98-2.04
N (0.0000, 0.0000, 0.0000)  4 Ce 2.51
N (0.0000, 0.0000, 0.5000)  4 Ce 2.51
N (0.2494, 0.7506, 0.1039)  1 Ru 1.98
N (0.2494, 0.7506, 0.3961)  1 Ru 1.98
N (0.3940, 0.6060, 0.7500)  2 Ru 2.04
N (0.6060, 0.3940, 0.2500)  2 Ru 2.04
N (0.7506, 0.2494, 0.6039)  1 Ru 1.98
N (0.7506, 0.2494, 0.8961)  1 Ru 1.98

Output
**Calculated volume**: 136.1 Å³/f.u.
**Crystal system**: orthorhombic
**Space group**: Cmcm (63)
**Formation energy from raw total energies**: -926 meV/atom
**M_tot**: 0.00 μB/f.u.
**Total energy**: -127.56 eV per cell


VASP calculation (PBE) on an optimized crystal structure of Ba2Ce4Sb3N2.

Unit cell a=14.1670 b=14.1670 c=14.1670 alpha=160.32 beta=160.32 gamma=27.97
Last column: nearest neighbours and their distance in Å.
Fractional positions:
Ba (0.1958, 0.1958, 0.0000)  1 N 2.90
Ba (0.8042, 0.8042, 0.0000)  1 N 2.90
Ce (0.0798, 0.5798, 0.5000)  2 N 2.44
Ce (0.4202, 0.9202, 0.5000)  2 N 2.44
Ce (0.5798, 0.0798, 0.5000)  2 N 2.44
Ce (0.9202, 0.4202, 0.5000)  2 N 2.44
Sb (0.3345, 0.3345, 0.0000)  4 Ce 3.38, 4 Ba 3.52
Sb (0.5000, 0.5000, 0.0000)  8 Ce 3.27
Sb (0.6655, 0.6655, 0.0000)  4 Ce 3.38, 4 Ba 3.52
N (0.0902, 0.0902, 0.0000)  4 Ce 2.44
N (0.9098, 0.9098, 0.0000)  4 Ce 2.44

Output
**Calculated volume**: 322.3 Å³/f.u.
**Crystal system**: tetragonal
**Space group**: I4/mmm (139)
**Formation energy from raw total energies**: -1103 meV/atom
**M_tot**: 2.91 μB/f.u.
**Total energy**: -68.73 eV per cell


VASP calculation (PBE) on an optimized crystal structure of BaCe2SiN4.

Unit cell a=6.4670 b=6.4670 c=11.8368 alpha=90.00 beta=90.00 gamma=148.36
Last column: nearest neighbours and their distance in Å.
Fractional positions:
Ba (0.0863, 0.9137, 0.7500)  8 N 3.00-3.15, 2 Si 3.35
Ba (0.9137, 0.0863, 0.2500)  8 N 3.00-3.15, 2 Si 3.35
Ce (0.3687, 0.6313, 0.5430)  6 N 2.41-2.56
Ce (0.3687, 0.6313, 0.9570)  6 N 2.41-2.56
Ce (0.6313, 0.3687, 0.0430)  6 N 2.41-2.56
Ce (0.6313, 0.3687, 0.4570)  6 N 2.41-2.56
Si (0.1850, 0.8150, 0.2500)  2 N 1.74
Si (0.8150, 0.1850, 0.7500)  2 N 1.74
N (0.0000, 0.0000, 0.0000)  4 Ce 2.46
N (0.0000, 0.0000, 0.5000)  4 Ce 2.46
N (0.2590, 0.7410, 0.1251)  1 Si 1.74
N (0.2590, 0.7410, 0.3749)  1 Si 1.74
N (0.3884, 0.6116, 0.7500)  2 Si 1.99
N (0.6116, 0.3884, 0.2500)  2 Si 1.99
N (0.7410, 0.2590, 0.6251)  1 Si 1.74
N (0.7410, 0.2590, 0.8749)  1 Si 1.74

Output
**Calculated volume**: 129.9 Å³/f.u.
**Crystal system**: orthorhombic
**Space group**: Cmcm (63)
**Formation energy from raw total energies**: -1144 meV/atom
**M_tot**: 1.46 μB/f.u.
**Total energy**: -123.34 eV per cell


VASP calculation (PBE) on an optimized crystal structure of BaCeSmN3.

Unit cell a=6.3117 b=3.7825 c=9.4938 alpha=90.00 beta=101.91 gamma=90.00
Last column: nearest neighbours and their distance in Å.
Fractional positions:
Ba (0.1520, 0.2500, 0.1931)  7 N 2.87-3.06
Ba (0.8480, 0.7500, 0.8069)  7 N 2.87-3.06
Ce (0.2593, 0.7500, 0.5357)  2 N 2.26-2.28
Ce (0.7407, 0.2500, 0.4643)  2 N 2.26-2.28
Sm (0.3680, 0.2500, 0.8543)  5 N 2.32-2.57
Sm (0.6320, 0.7500, 0.1457)  5 N 2.32-2.57
N (0.0587, 0.2500, 0.6309)  3 Ce 2.28-2.54
N (0.2826, 0.7500, 0.9726)  3 Sm 2.32-2.46
N (0.4613, 0.7500, 0.3643)  1 Ce 2.26, 1 Sm 2.53
N (0.5387, 0.2500, 0.6357)  1 Ce 2.26, 1 Sm 2.53
N (0.7174, 0.2500, 0.0274)  3 Sm 2.32-2.46
N (0.9413, 0.7500, 0.3691)  3 Ce 2.28-2.54

Output
**Calculated volume**: 110.9 Å³/f.u.
**Crystal system**: monoclinic
**Space group**: P2_1/m (11)
**Formation energy from raw total energies**: -1120 meV/atom
**M_tot**: 0.00 μB/f.u.
**Total energy**: -88.55 eV per cell


VASP calculation (PBE) on an optimized crystal structure of Ba2CeTaN4.

Unit cell a=7.2267 b=7.2267 c=7.2267 alpha=122.13 beta=118.24 gamma=89.71
Last column: nearest neighbours and their distance in Å.
Fractional positions:
Ba (0.0000, 0.0000, 0.0000)  6 N 2.70-2.74
Ba (0.5000, 0.0000, 0.0000)  6 N 2.87-2.99
Ba (0.5000, 0.0000, 0.5000)  6 N 2.70-2.74
Ba (0.5000, 0.5000, 0.5000)  6 N 2.87-2.99
Ce (0.0000, 0.5000, 0.5000)  6 N 2.44-2.49
Ce (0.5000, 0.5000, 0.0000)  6 N 2.44-2.49
Ta (0.0000, 0.0000, 0.5000)  6 N 2.15-2.26
Ta (0.0000, 0.5000, 0.0000)  6 N 2.15-2.26
N (0.1825, 0.7393, 0.4432)  2 Ta 2.26, 1 Ce 2.49
N (0.2040, 0.2607, 0.9432)  2 Ta 2.26, 1 Ce 2.49
N (0.2091, 0.2412, 0.5321)  1 Ta 2.15
N (0.2091, 0.6771, 0.9679)  1 Ta 2.15
N (0.7909, 0.3229, 0.0321)  1 Ta 2.15
N (0.7909, 0.7588, 0.4679)  1 Ta 2.15
N (0.7960, 0.7393, 0.0568)  2 Ta 2.26, 1 Ce 2.49
N (0.8175, 0.2607, 0.5568)  2 Ta 2.26, 1 Ce 2.49

Output
**Calculated volume**: 132.9 Å³/f.u.
**Crystal system**: orthorhombic
**Space group**: Imma (74)
**Formation energy from raw total energies**: -868 meV/atom
**M_tot**: 0.00 μB/f.u.
**Total energy**: -123.75 eV per cell


VASP calculation (PBE) on an optimized crystal structure of BaCeTaN3.

Unit cell a=7.1876 b=7.1876 c=7.6981 alpha=104.78 beta=104.78 gamma=32.82
Last column: nearest neighbours and their distance in Å.
Fractional positions:
Ba (0.1435, 0.1435, 0.0711)  7 N 2.78-3.08
Ba (0.8565, 0.8565, 0.9289)  7 N 2.78-3.08
Ce (0.1569, 0.1569, 0.5680)  4 N 2.32-2.52
Ce (0.8431, 0.8431, 0.4320)  4 N 2.32-2.52
Ta (0.4979, 0.4979, 0.2977)  3 N 1.96-2.04
Ta (0.5021, 0.5021, 0.7023)  3 N 1.96-2.04
N (0.0109, 0.0109, 0.2893)  2 Ta 2.04
N (0.3305, 0.3305, 0.6194)  1 Ta 2.28, 3 Ce 2.32-2.52
N (0.3504, 0.3504, 0.2243)  1 Ta 1.96
N (0.6496, 0.6496, 0.7757)  1 Ta 1.96
N (0.6695, 0.6695, 0.3806)  1 Ta 2.28, 3 Ce 2.32-2.52
N (0.9891, 0.9891, 0.7107)  2 Ta 2.04

Output
**Calculated volume**: 103.9 Å³/f.u.
**Crystal system**: monoclinic
**Space group**: C2/m (12)
**Formation energy from raw total energies**: -1087 meV/atom
**M_tot**: 0.05 μB/f.u.
**Total energy**: -102.42 eV per cell


Look up the total energy of the tenth one.
-88.55 eV per cell


What did the fourth record say?
VASP calculation (PBE) on an optimized crystal structure of Ba3CeRe2N8.

Unit cell a=6.1752 b=6.1752 c=7.8597 alpha=90.00 beta=90.00 gamma=120.00
Last column: nearest neighbours and their distance in Å.
Fractional positions:
Ba (0.0000, 0.0000, 0.0000)  6 N 3.07
Ba (0.3333, 0.6667, 0.6709)  1 N 2.61
Ba (0.6667, 0.3333, 0.3291)  1 N 2.61
Ce (0.0000, 0.0000, 0.5000)  6 N 2.35
Re (0.3333, 0.6667, 0.2282)  4 N 1.77-1.85
Re (0.6667, 0.3333, 0.7718)  4 N 1.77-1.85
N (0.1715, 0.3430, 0.3127)  1 Re 1.85
N (0.1715, 0.8285, 0.3127)  1 Re 1.85
N (0.3333, 0.6667, 0.0025)  1 Re 1.77
N (0.3430, 0.1715, 0.6873)  1 Re 1.85
N (0.6570, 0.8285, 0.3127)  1 Re 1.85
N (0.6667, 0.3333, 0.9975)  1 Re 1.77
N (0.8285, 0.1715, 0.6873)  1 Re 1.85
N (0.8285, 0.6570, 0.6873)  1 Re 1.85

Output
**Calculated volume**: 259.6 Å³/f.u.
**Crystal system**: trigonal
**Space group**: P-3m1 (164)
**Formation energy from raw total energies**: -828 meV/atom
**M_tot**: 0.00 μB/f.u.
**Total energy**: -114.80 eV per cell


Which of these has the lowest formation energy from raw total energies?
BaCe2SiN4